1.
Sc3NiPd: relaxed, PBE.

Unit cell a=4.181 b=6.183 c=7.662 alpha=90.00 beta=90.00 gamma=90.00
Space group Pmmn (No. 59, origin choice 2)
Inequivalent atoms, fractional coordinates:
Sc1 0.250 0.001 0.157 x4
Sc2 0.250 0.250 0.546 x2
Ni1 0.250 0.250 0.878 x2
Pd1 0.250 0.750 0.692 x2

Output
For the offset from the most stable computed form, the calculation gives 109.6 meV per atom.


2.
Sc11Ni4Pd9: relaxed, PBE.

Unit cell a=13.005 b=19.577 c=3.253 alpha=90.00 beta=90.00 gamma=90.00
Space group Cmmm (No. 65)
Inequivalent atoms, fractional coordinates:
Sc1 0.000 0.000 0.000 x2
Sc2 0.000 0.171 0.000 x4
Sc3 0.000 0.370 0.000 x4
Sc4 0.218 0.500 0.000 x4
Sc5 0.242 0.170 0.000 x8
Ni1 0.153 0.405 0.500 x8
Pd1 0.000 0.500 0.500 x2
Pd2 0.113 0.262 0.500 x8
Pd3 0.126 0.080 0.500 x8


3.
ScNiPd: relaxed, PBE.

Unit cell a=4.3014 b=4.3014 c=2.9291 alpha=90.00 beta=90.00 gamma=120.00
Space group P3m1 (No. 156)
Inequivalent atoms, fractional coordinates:
Sc1 0.0000 0.0000 0.0000 x1
Ni1 0.6667 0.3333 0.3274 x1
Pd1 0.3333 0.6667 0.6194 x1


4.
Sc4NiPd3: relaxed, PBE.

Unit cell a=3.258 b=3.258 c=13.325 alpha=90.00 beta=90.00 gamma=90.00
Space group P4/mmm (No. 123)
Inequivalent atoms, fractional coordinates:
Sc1 0.000 0.000 0.115 x2
Sc2 0.000 0.000 0.371 x2
Ni1 0.500 0.500 0.000 x1
Pd1 0.500 0.500 0.246 x2
Pd2 0.500 0.500 0.500 x1


| no. | energy of formation from the pure elements (eV per formula unit) |
| --- | --- |
| 1 | -2.23 |
| 2 | -18.30 |
| 3 | -1.36 |
| 4 | -6.35 |